## Zn2HgAsO6 (GGA-PBE)

Data for an optimized crystal structure of Zn2HgAsO6.

```
20
Lattice="-4.4238 3.9180 -0.0551 -3.8862 -0.9009 -6.6399 -5.1229 -2.1277 5.4066" Properties=species:S:1:pos:R:3 pbc="T T T"
Zn -7.0749 -0.3786 -1.7549
Zn -3.9470 -0.4934 -1.4455
Zn -6.3581 1.2681 0.4665
Zn -9.4859 1.3829 0.1571
Hg -5.1242 -0.0524 -5.3673
Hg -8.3087 0.9419 4.0789
As -5.9884 -0.9097 3.0509
As -7.4445 1.7992 -4.3393
O -8.6255 -1.9185 -2.3217
O -2.3460 1.0965 -1.3701
O -4.8074 2.8080 1.0333
O -11.0870 -0.2070 0.0817
O -7.2669 0.2563 -3.6540
O -3.3640 -0.7405 -3.3548
O -6.1660 0.6332 2.3656
O -10.0689 1.6300 2.0664
O -5.6745 -1.7152 -1.4658
O -5.4040 0.7870 -1.1832
O -7.7584 2.6047 0.1774
O -8.0289 0.1025 -0.1052
```

Output
space-group type = C2/c
magnetization = 1.01 μB/f.u.
uncorrected energy = -4.624 eV/atom
formation energy without anion corrections = -0.899 eV per atom

---

## ZrHgAs2O (GGA-PBE)

Data for an optimized crystal structure of ZrHgAs2O.

```
5
Lattice="5.1358 0.0000 0.0000 0.0000 5.8421 0.0000 0.0000 0.0000 5.1358" Properties=species:S:1:pos:R:3 pbc="T T T"
O 2.5679 2.9210 2.5679
As 0.0000 0.0000 2.5679
As 2.5679 0.0000 0.0000
Hg 0.0000 2.9210 0.0000
Zr 0.0000 0.0000 0.0000
```

Output
space-group type = P4/mmm
magnetization = 0.38 μB/f.u.
uncorrected energy = -3.868 eV/atom
formation energy without anion corrections = 0.754 eV per atom

---

## HgAs2Os (GGA-PBE)

Data for an optimized crystal structure of HgAs2Os.

```
4
Lattice="-0.5961 1.9483 -3.4129 -3.2166 1.4390 -1.8390 2.1327 5.7960 5.4262" Properties=species:S:1:pos:R:3 pbc="T T T"
As -3.2548 3.5560 -4.2684
As -1.3980 4.4230 -0.8964
Os -0.4200 2.2958 0.0436
Hg -1.2601 6.8875 0.1307
```

Output
space-group type = C2/m
formation energy from the elements = 0.127 eV per atom
magnetization = 0.00 μB/f.u.
uncorrected energy = -5.081 eV/atom

---

## HgAs2Os (GGA-PBE)

Data for an optimized crystal structure of HgAs2Os.

```
4
Lattice="4.8518 0.0000 0.0000 0.0000 3.7715 -0.0112 0.0000 -1.8740 4.6111" Properties=species:S:1:pos:R:3 pbc="T T T"
As 0.0000 3.0646 0.1729
As 2.4259 1.1793 0.7160
Os 2.4259 1.1865 3.8166
Hg 0.0000 1.1873 2.1831
```

Output
space-group type = Amm2
formation energy from the elements = 0.506 eV per atom
magnetization = 0.00 μB/f.u.
uncorrected energy = -4.701 eV/atom

---

Which value of uncorrected energy does entry 4 give? -4.701 eV/atom

---

Among the records above, which one has the highest magnetization? Zn2HgAsO6